The following is a DFT calculation (PBE) of an optimized crystal structure of Ca2ZnO.

## Properties
E_form (uncorrected)   -26.02 kcal/mol of atoms
Symmetry   R-3m (166)
Fermi-level density of states   0.60 states/eV/atom
Polymorph energy (0 for the lowest one)   0.243 eV per atom
Total moment   2.05 Bohr magnetons per cell

a b c (Å): 3.4792 3.4792 26.3109
angles (deg): 90.00 90.00 120.00
Positions (direct):
Ca  0.0000  0.0000  0.1147
Ca  0.0000  0.0000  0.8853
Ca  0.3333  0.6667  0.5519
Ca  0.3333  0.6667  0.7814
Ca  0.6667  0.3333  0.2186
Ca  0.6667  0.3333  0.4481
Zn  0.0000  0.0000  0.0000
Zn  0.3333  0.6667  0.6667
Zn  0.6667  0.3333  0.3333
O  0.0000  0.0000  0.5000
O  0.3333  0.6667  0.1667
O  0.6667  0.3333  0.8333

The following is a DFT calculation (PBE) of an optimized crystal structure of NbFe2AuN.

## Properties
E_form (uncorrected)   27.56 kcal/mol of atoms
Symmetry   P4/mmm (123)
Fermi-level density of states   1.16 states/eV/atom
Total moment   4.54 Bohr magnetons per cell

a b c (Å): 4.7499 4.7499 3.9308
angles (deg): 90.00 90.00 90.00
Positions (direct):
Nb  0.0000  0.0000  0.0000
Fe  0.0000  0.5000  0.0000
Fe  0.5000  0.0000  0.0000
Au  0.5000  0.5000  0.5000
N  0.0000  0.0000  0.5000

The following is a DFT calculation (PBE) of an optimized crystal structure of Ba5Mg4Zn.

## Properties
Energy of formation from the pure elements   -0.075 eV/atom
Symmetry   P4/mmm (123)
Fermi-level density of states   0.73 states/eV/atom
Total moment   0.00 Bohr magnetons per cell

a b c (Å): 4.2733 4.2733 21.9536
angles (deg): 90.00 90.00 90.00
Positions (direct):
Ba  0.0000  0.0000  0.0000
Ba  0.0000  0.0000  0.2042
Ba  0.0000  0.0000  0.4099
Ba  0.0000  0.0000  0.5901
Ba  0.0000  0.0000  0.7958
Mg  0.5000  0.5000  0.1026
Mg  0.5000  0.5000  0.3054
Mg  0.5000  0.5000  0.6946
Mg  0.5000  0.5000  0.8974
Zn  0.5000  0.5000  0.5000

The following is a DFT calculation (PBE) of an optimized crystal structure of KBaCo2S.

## Properties
E_form (uncorrected)   31.00 kcal/mol of atoms
Symmetry   P4/mmm (123)
Fermi-level density of states   0.99 states/eV/atom
Polymorph energy (0 for the lowest one)   0.291 eV per atom
Total moment   2.88 Bohr magnetons per cell

a b c (Å): 4.6569 4.6569 7.5072
angles (deg): 90.00 90.00 90.00
Positions (direct):
K  0.0000  0.0000  0.0000
Ba  0.0000  0.0000  0.5000
Co  0.0000  0.5000  0.0000
Co  0.5000  0.0000  0.0000
S  0.5000  0.5000  0.5000

Copy entry 1 word for word.
The following is a DFT calculation (PBE) of an optimized crystal structure of Ca2ZnO.

## Properties
E_form (uncorrected)   -26.02 kcal/mol of atoms
Symmetry   R-3m (166)
Fermi-level density of states   0.60 states/eV/atom
Polymorph energy (0 for the lowest one)   0.243 eV per atom
Total moment   2.05 Bohr magnetons per cell

a b c (Å): 3.4792 3.4792 26.3109
angles (deg): 90.00 90.00 120.00
Positions (direct):
Ca  0.0000  0.0000  0.1147
Ca  0.0000  0.0000  0.8853
Ca  0.3333  0.6667  0.5519
Ca  0.3333  0.6667  0.7814
Ca  0.6667  0.3333  0.2186
Ca  0.6667  0.3333  0.4481
Zn  0.0000  0.0000  0.0000
Zn  0.3333  0.6667  0.6667
Zn  0.6667  0.3333  0.3333
O  0.0000  0.0000  0.5000
O  0.3333  0.6667  0.1667
O  0.6667  0.3333  0.8333